# ReNi2Pb

Crystalline ReNi2Pb at its relaxed geometry (PBE, Alexandria).

Structure (POSCAR):
```
ReNi2Pb
1.0
-0.847 -1.052 -2.566
4.120 -2.488 -0.340
0.970 -5.120 1.779
Ni Pb Re
2 1 1
Cartesian
0.000 0.000 0.000 Ni
1.636 -1.770 -1.453 Ni
2.121 -4.330 -0.564 Pb
0.485 -2.560 0.889 Re
```

Calculated values
Crystal system = monoclinic
ΔE_f = 0.68 eV per atom
N(E_F) = 4.7 states/eV per cell
M_tot = 0.000 μB per formula unit
SG = P2/m, No. 10